# 1
Density functional theory data (PBE-GGA) for crystalline LaNpNb at its relaxed geometry.

Cell lengths 4.8612, 4.8612, 4.8612 Å; angles 60.00, 60.00, 60.00 degrees
Positions (direct):
1 Nb 0.2500 0.2500 0.2500
2 Np 0.0000 0.0000 0.0000
3 La 0.5000 0.5000 0.5000

## Properties
energy above the most stable polymorph in this dataset = 0 meV per atom
energy of formation from the pure elements = 982 meV/atom
crystal system = cubic

=====

# 2
Density functional theory data (PBE-GGA) for crystalline La2NbO5 at its relaxed geometry.

Cell lengths 7.0378, 7.0378, 7.0378 Å; angles 100.84, 100.84, 128.60 degrees
Positions (direct):
1 Nb 0.2260 0.2260 0.0000
2 Nb 0.7740 0.7740 0.0000
3 La 0.3878 0.8259 0.2137
4 La 0.8259 0.6122 0.4381
5 La 0.1741 0.3878 0.5619
6 La 0.6122 0.1741 0.7863
7 O 0.6320 0.5340 0.7115
8 O 0.8225 0.9205 0.2885
9 O 0.9205 0.6320 0.0979
10 O 0.5340 0.8225 0.9021
11 O 0.2500 0.7500 0.5000
12 O 0.3680 0.4660 0.2885
13 O 0.0795 0.3680 0.9021
14 O 0.4660 0.1775 0.0979
15 O 0.1775 0.0795 0.7115
16 O 0.7500 0.2500 0.5000

## Properties
uncorrected energy = -8.6699 eV/atom
crystal system = tetragonal

=====

# 3
Density functional theory data (PBE-GGA) for crystalline LaNbO3 at its relaxed geometry.

Cell lengths 5.6767, 5.6767, 6.1476 Å; angles 62.50, 62.50, 60.00 degrees
Positions (direct):
1 O 0.9522 0.5660 0.2732
2 O 0.7914 0.0478 0.7268
3 O 0.5660 0.2086 0.2732
4 O 0.2086 0.9522 0.2732
5 O 0.4340 0.7914 0.7268
6 O 0.0478 0.4340 0.7268
7 La 0.6394 0.6394 0.0818
8 La 0.3606 0.3606 0.9182
9 Nb 0.8391 0.8391 0.4826
10 Nb 0.1609 0.1609 0.5174

## Properties
uncorrected energy = -8.5334 eV/atom
crystal system = trigonal

=====

Number 1: spin magnetization 3.1 Bohr magnetons per cell. Number 2: spin magnetization 0.0 Bohr magnetons per cell. Number 3: spin magnetization 0.0 Bohr magnetons per cell.